1.
# Cs2KRbLi

An optimized crystal structure of Cs2KRbLi (PBE, Alexandria).

The space group is P4/mmm (No. 123) and the conventional cell measures 7.791, 7.791 and 7.473 Å, with angles of 90.00, 90.00 and 90.00 degrees. The inequivalent atoms are Cs at (0.000, 0.500, 0.000), K at (0.000, 0.000, 0.500), Rb at (0.500, 0.500, 0.500) and Li at (0.500, 0.500, 0.000).

As for the total energy: -0.9964 eV/atom. As for the relative energy among the computed polymorphs: 15.2 meV/atom.

---

2.
# ReSiSbTe2

An optimized crystal structure of ReSiSbTe2 (PBE, Alexandria).

The space group is P4/mmm (No. 123) and the conventional cell measures 5.235, 5.235 and 5.149 Å, with angles of 90.00, 90.00 and 90.00 degrees. The inequivalent atoms are Re at (0.000, 0.000, 0.000), Si at (0.500, 0.500, 0.500), Sb at (0.000, 0.000, 0.500) and Te at (0.000, 0.500, 0.000).

The uncorrected formation energy is 1.0278 eV per atom. As for the total energy: -4.6276 eV/atom. As for the relative energy among the computed polymorphs: 0.0 meV/atom.

---

3.
# TlIn3Se

An optimized crystal structure of TlIn3Se (PBE, Alexandria).

The space group is Pm-3m (No. 221) and the conventional cell measures 5.678, 5.678 and 5.678 Å, with angles of 90.00, 90.00 and 90.00 degrees. The inequivalent atoms are Tl at (0.000, 0.000, 0.000), In at (0.000, 0.000, 0.500) and Se at (0.500, 0.500, 0.500).

The uncorrected formation energy is 0.3776 eV per atom. As for the total energy: -2.4357 eV/atom. As for the relative energy among the computed polymorphs: 133.2 meV/atom.

---

4.
# AlTc2Se

An optimized crystal structure of AlTc2Se (PBE, Alexandria).

The space group is Fm-3m (No. 225) and the conventional cell measures 6.142, 6.142 and 6.142 Å, with angles of 90.00, 90.00 and 90.00 degrees. The inequivalent atoms are Al at (0.000, 0.000, 0.000), Tc at (0.250, 0.250, 0.250) and Se at (0.000, 0.000, 0.500).

The uncorrected formation energy is 0.0476 eV per atom. As for the total energy: -6.9422 eV/atom. As for the relative energy among the computed polymorphs: 130.7 meV/atom.

---

5.
# Dy5HoTm4

An optimized crystal structure of Dy5HoTm4 (PBE, Alexandria).

The space group is P-1 (No. 2) and the conventional cell measures 3.520, 9.290 and 9.893 Å, with angles of 74.51, 89.92 and 79.11 degrees. The inequivalent atoms are Dy at (0.000, 0.000, 0.000), Dy at (0.199, 0.601, 0.100), Dy at (0.199, 0.601, 0.600), Ho at (0.000, 0.000, 0.500), Tm at (0.400, 0.200, 0.200) and Tm at (0.401, 0.199, 0.700).

As for the total energy: -4.5259 eV/atom. As for the relative energy among the computed polymorphs: 0.0 meV/atom.

---

6.
# Ac6OsRh2I2

An optimized crystal structure of Ac6OsRh2I2 (PBE, Alexandria).

The space group is C2/m (No. 12) and the conventional cell measures 7.561, 13.112 and 9.104 Å, with angles of 90.00, 106.06 and 90.00 degrees. The inequivalent atoms are Ac at (0.223, 0.166, 0.181), Ac at (0.234, 0.500, 0.181), Os at (0.000, 0.000, 0.000), Rh at (0.000, 0.332, 0.000) and I at (0.000, 0.165, 0.500).

The uncorrected formation energy is -0.7283 eV per atom. As for the total energy: -5.6086 eV/atom.

---

7.
# SbAsSe2N

An optimized crystal structure of SbAsSe2N (PBE, Alexandria).

The space group is P4/mmm (No. 123) and the conventional cell measures 4.537, 4.537 and 4.479 Å, with angles of 90.00, 90.00 and 90.00 degrees. The inequivalent atoms are Sb at (0.000, 0.000, 0.000), As at (0.500, 0.500, 0.000), Se at (0.000, 0.500, 0.500) and N at (0.500, 0.500, 0.500).

The uncorrected formation energy is 0.7435 eV per atom. As for the total energy: -4.0698 eV/atom. As for the relative energy among the computed polymorphs: 69.5 meV/atom.

---

8.
# AcNd4Dy7

An optimized crystal structure of AcNd4Dy7 (PBE, Alexandria).

The space group is C2/m (No. 12) and the conventional cell measures 12.363, 6.106 and 12.793 Å, with angles of 90.00, 118.87 and 90.00 degrees. The inequivalent atoms are Ac at (0.000, 0.000, 0.000), Nd at (0.131, 0.500, 0.776), Nd at (0.245, 0.000, 0.677), Dy at (0.000, 0.500, 0.000), Dy at (0.057, 0.000, 0.335), Dy at (0.133, 0.500, 0.503) and Dy at (0.217, 0.000, 0.921).

As for the total energy: -4.3294 eV/atom. As for the relative energy among the computed polymorphs: 263.6 meV/atom.

---

9.
# ThGaGe

An optimized crystal structure of ThGaGe (PBE, Alexandria).

The space group is I4mm (No. 107) and the conventional cell measures 3.223, 3.223 and 15.418 Å, with angles of 90.00, 90.00 and 90.00 degrees. The inequivalent atoms are Th at (0.000, 0.000, 0.000), Ga at (0.000, 0.000, 0.196) and Ge at (0.000, 0.000, 0.359).

As for the total energy: -4.8991 eV/atom.

---

10.
# Hf2ZrAlSi

An optimized crystal structure of Hf2ZrAlSi (PBE, Alexandria).

The space group is P4/mmm (No. 123) and the conventional cell measures 5.074, 5.074 and 5.051 Å, with angles of 90.00, 90.00 and 90.00 degrees. The inequivalent atoms are Hf at (0.000, 0.500, 0.000), Zr at (0.000, 0.000, 0.000), Al at (0.000, 0.000, 0.500) and Si at (0.500, 0.500, 0.500).

The uncorrected formation energy is 1.3358 eV per atom. As for the total energy: -6.1883 eV/atom.

---

11.
# MnB2TeCl

An optimized crystal structure of MnB2TeCl (PBE, Alexandria).

The space group is P4/mmm (No. 123) and the conventional cell measures 4.031, 4.031 and 4.865 Å, with angles of 90.00, 90.00 and 90.00 degrees. The inequivalent atoms are Mn at (0.000, 0.000, 0.000), B at (0.000, 0.500, 0.000), Te at (0.000, 0.000, 0.500) and Cl at (0.500, 0.500, 0.500).

The uncorrected formation energy is 0.7703 eV per atom. As for the total energy: -4.7323 eV/atom.

---

12.
# TaSbIr2

An optimized crystal structure of TaSbIr2 (PBE, Alexandria).

The space group is Cm (No. 8) and the conventional cell measures 9.537, 3.055 and 4.777 Å, with angles of 90.00, 96.74 and 90.00 degrees. The inequivalent atoms are Ta at (0.000, 0.000, 0.000), Sb at (0.230, 0.000, 0.665), Ir at (0.235, 0.500, 0.178) and Ir at (0.477, 0.000, 0.467).

The uncorrected formation energy is -0.0788 eV per atom. As for the total energy: -8.5031 eV/atom.

---

13.
# CdSb2TePb

An optimized crystal structure of CdSb2TePb (PBE, Alexandria).

The space group is P4/mmm (No. 123) and the conventional cell measures 5.867, 5.867 and 5.841 Å, with angles of 90.00, 90.00 and 90.00 degrees. The inequivalent atoms are Cd at (0.000, 0.000, 0.000), Sb at (0.000, 0.500, 0.500), Te at (0.500, 0.500, 0.000) and Pb at (0.500, 0.500, 0.500).

The uncorrected formation energy is 0.7787 eV per atom. As for the total energy: -2.4233 eV/atom. As for the relative energy among the computed polymorphs: 276.5 meV/atom.

---

14.
# In12GaPb7

An optimized crystal structure of In12GaPb7 (PBE, Alexandria).

The space group is R-3m (No. 166, hexagonal axes) and the conventional cell measures 13.0761, 13.0761 and 11.5884 Å, with angles of 90.00, 90.00 and 120.00 degrees. The inequivalent atoms are In at (0.0000, 0.2601, 0.0000), In at (0.0419, 0.5210, 0.1257), Ga at (0.0000, 0.0000, 0.0000), Pb at (0.0000, 0.0000, 0.5000) and Pb at (0.0873, 0.1746, 0.7673).

As for the total energy: -3.0418 eV/atom.

---

15.
# MgP2AuS

An optimized crystal structure of MgP2AuS (PBE, Alexandria).

The space group is P4/mmm (No. 123) and the conventional cell measures 4.783, 4.783 and 5.096 Å, with angles of 90.00, 90.00 and 90.00 degrees. The inequivalent atoms are Mg at (0.000, 0.000, 0.000), P at (0.000, 0.500, 0.500), Au at (0.500, 0.500, 0.500) and S at (0.500, 0.500, 0.000).

The uncorrected formation energy is 0.7413 eV per atom. As for the total energy: -3.2225 eV/atom. As for the relative energy among the computed polymorphs: 0.0 meV/atom.

---

16.
# Pm5Pr4Ho

An optimized crystal structure of Pm5Pr4Ho (PBE, Alexandria).

The space group is C2/m (No. 12) and the conventional cell measures 17.591, 3.614 and 11.341 Å, with angles of 90.00, 90.29 and 90.00 degrees. The inequivalent atoms are Pm at (0.000, 0.000, 0.000), Pm at (0.172, 0.500, 0.552), Pm at (0.174, 0.500, 0.944), Pr at (0.030, 0.500, 0.748), Pr at (0.155, 0.000, 0.249) and Ho at (0.000, 0.000, 0.500).

As for the total energy: -4.5741 eV/atom. As for the relative energy among the computed polymorphs: 0.0 meV/atom.

---

17.
# Pm2RuPbO8

An optimized crystal structure of Pm2RuPbO8 (PBE, Alexandria).

The space group is P-1 (No. 2) and the conventional cell measures 4.977, 4.984 and 7.013 Å, with angles of 90.50, 90.51 and 92.00 degrees. The inequivalent atoms are Pm at (0.048, 0.047, 0.252), Ru at (0.500, 0.500, 0.500), Pb at (0.500, 0.500, 0.000), O at (0.193, 0.194, 0.969), O at (0.237, 0.238, 0.537), O at (0.289, 0.649, 0.284) and O at (0.352, 0.712, 0.716).

The uncorrected formation energy is -1.8281 eV per atom. As for the total energy: -7.0073 eV/atom.

---

18.
# CeLuMgAl

An optimized crystal structure of CeLuMgAl (PBE, Alexandria).

The space group is F-43m (No. 216) and the conventional cell measures 7.321, 7.321 and 7.321 Å, with angles of 90.00, 90.00 and 90.00 degrees. The inequivalent atoms are Ce at (0.000, 0.000, 0.000), Lu at (0.000, 0.000, 0.500), Mg at (0.250, 0.250, 0.250) and Al at (0.250, 0.250, 0.750).

As for the total energy: -4.1364 eV/atom.

---

19.
# Nd8P3CCl4

An optimized crystal structure of Nd8P3CCl4 (PBE, Alexandria).

The space group is R-3m (No. 166, hexagonal axes) and the conventional cell measures 8.1427, 8.1427 and 20.9372 Å, with angles of 90.00, 90.00 and 120.00 degrees. The inequivalent atoms are Nd at (0.0000, 0.0000, 0.2381), Nd at (0.0275, 0.5137, 0.2352), P at (0.0000, 0.5000, 0.5000), C at (0.0000, 0.0000, 0.5000), Cl at (0.0000, 0.0000, 0.0000) and Cl at (0.0000, 0.5000, 0.0000).

The uncorrected formation energy is -1.4594 eV per atom. As for the total energy: -5.8958 eV/atom.

---

20.
# CrCuAg2W

An optimized crystal structure of CrCuAg2W (PBE, Alexandria).

The space group is P4/mmm (No. 123) and the conventional cell measures 4.536, 4.536 and 4.639 Å, with angles of 90.00, 90.00 and 90.00 degrees. The inequivalent atoms are Cr at (0.000, 0.000, 0.000), Cu at (0.500, 0.500, 0.500), Ag at (0.000, 0.500, 0.500) and W at (0.500, 0.500, 0.000).

As for the total energy: -4.6805 eV/atom.

---

21.
# Sr2GaCu

An optimized crystal structure of Sr2GaCu (PBE, Alexandria).

The space group is I-42d (No. 122) and the conventional cell measures 8.425, 8.425 and 7.422 Å, with angles of 90.00, 90.00 and 90.00 degrees. The inequivalent atoms are Sr at (0.229, 0.250, 0.125), Ga at (0.000, 0.000, 0.500) and Cu at (0.000, 0.000, 0.000).

As for the total energy: -2.4857 eV/atom.

---

22.
# Si3Te

An optimized crystal structure of Si3Te (PBE, Alexandria).

The space group is Cmcm (No. 63) and the conventional cell measures 9.823, 10.458 and 3.746 Å, with angles of 90.00, 90.00 and 90.00 degrees. The inequivalent atoms are Si at (0.000, 0.068, 0.250), Si at (0.169, 0.237, 0.250) and Te at (0.000, 0.359, 0.750).

The uncorrected formation energy is 0.2781 eV per atom. As for the total energy: -4.5746 eV/atom. As for the relative energy among the computed polymorphs: 0.0 meV/atom.

---

Spin magnetization
In order: 0.0 0.0 0.0 0.0 0.0 0.0 0.0 0.0 0.0 0.0 0.0 0.0 0.9 0.0 1.5 0.0 0.0 1.9 0.0 0.2 0.0 0.0
Unit: μB/cell